# PBE HgRu, relaxed
# Crystal system: orthorhombic
# Formation energy from the elements: 529 meV per atom
data_HgRu
_chemical_formula_sum 'Hg8 Ru8'
_cell_length_a 4.293
_cell_length_b 10.003
_cell_length_c 7.009
_cell_angle_alpha 90.00
_cell_angle_beta 90.00
_cell_angle_gamma 90.00
_space_group_name_H-M_alt 'C m c e'
_space_group_IT_number 64
_space_group_name_Hall '-C 2ac 2'
loop_
_atom_site_label
_atom_site_type_symbol
_atom_site_fract_x
_atom_site_fract_y
_atom_site_fract_z
Hg1 Hg 0.000 0.164 0.078
Ru1 Ru 0.000 0.053 0.656

=====

# PBE Sr2SnBi3Pd4, relaxed
# Crystal system: tetragonal
# Formation energy from the elements: -611 meV per atom
data_Sr2SnBi3Pd4
_chemical_formula_sum 'Sr2 Sn1 Bi3 Pd4'
_cell_length_a 4.824
_cell_length_b 4.824
_cell_length_c 10.998
_cell_angle_alpha 90.00
_cell_angle_beta 90.00
_cell_angle_gamma 90.00
_space_group_name_H-M_alt 'P -4 m 2'
_space_group_IT_number 115
loop_
_space_group_symop_operation_xyz
'x,y,z'
'y,-x,-z'
'-x,-y,z'
'-y,x,-z'
'-x,y,z'
'-y,-x,-z'
'x,-y,z'
'y,x,-z'
loop_
_atom_site_label
_atom_site_type_symbol
_atom_site_fract_x
_atom_site_fract_y
_atom_site_fract_z
Sr1 Sr 0.000 0.500 0.238
Sn1 Sn 0.000 0.000 0.500
Bi1 Bi 0.000 0.500 0.873
Bi2 Bi 0.500 0.500 0.500
Pd1 Pd 0.000 0.000 0.000
Pd2 Pd 0.000 0.500 0.626
Pd3 Pd 0.500 0.500 0.000

=====

Question: Which of these has the lowest formation energy from the elements?
Answer: Sr2SnBi3Pd4

=====

Question: Look up the formation energy from the elements of the first one.
Answer: 529 meV per atom

=====

Question: The highest formation energy from the elements belongs to which entry?
Answer: HgRu